(1)
A plane-wave DFT calculation with PBE was carried out for a geometry-optimized Ho2Tm3In3 structure.

a = 10.560 Å, b = 10.560 Å, c = 10.560 Å
α = 155.77°, β = 153.53°, γ = 36.19°
Positions (direct):
Ho1 0.240 0.240 0.000
Ho2 0.760 0.760 0.000
Tm1 0.000 0.000 0.000
Tm2 0.381 0.881 0.500
Tm3 0.619 0.119 0.500
In1 0.125 0.625 0.500
In2 0.500 0.500 0.000
In3 0.875 0.375 0.500

Calculated values
- Space-group type: Immm
- Uncorrected energy: -0.1537 hartree per atom
- Density of states at the Fermi level: 0.8554 states/eV per atom

=====

(2)
A plane-wave DFT calculation with PBE was carried out for a geometry-optimized Ho2TmIn structure.

a = 5.408 Å, b = 5.408 Å, c = 5.408 Å
α = 60.00°, β = 60.00°, γ = 60.00°
Positions (direct):
Ho1 0.250 0.250 0.250
Ho2 0.750 0.750 0.750
Tm1 0.000 0.000 0.000
In1 0.500 0.500 0.500

Calculated values
- Space-group type: Fm-3m
- Uncorrected energy: -0.1551 hartree per atom
- Density of states at the Fermi level: 1.6216 states/eV per atom

=====

(3)
A plane-wave DFT calculation with PBE was carried out for a geometry-optimized Ho2Tm2In3 structure.

a = 6.746 Å, b = 6.746 Å, c = 8.887 Å
α = 112.00°, β = 112.00°, γ = 31.90°
Positions (direct):
Ho1 0.116 0.116 0.453
Ho2 0.884 0.884 0.547
Tm1 0.375 0.375 0.184
Tm2 0.625 0.625 0.816
In1 0.000 0.000 0.000
In2 0.316 0.316 0.788
In3 0.684 0.684 0.212

Calculated values
- Space-group type: C2/m
- Uncorrected energy: -0.1481 hartree per atom
- Density of states at the Fermi level: 1.1044 states/eV per atom

=====

(4)
A plane-wave DFT calculation with PBE was carried out for a geometry-optimized Ho7Tm4In structure.

a = 6.671 Å, b = 6.671 Å, c = 12.153 Å
α = 111.97°, β = 111.97°, γ = 51.66°
Positions (direct):
Ho1 0.000 0.000 0.000
Ho2 0.132 0.132 0.472
Ho3 0.298 0.298 0.081
Ho4 0.404 0.404 0.722
Ho5 0.596 0.596 0.278
Ho6 0.702 0.702 0.919
Ho7 0.868 0.868 0.528
Tm1 0.133 0.133 0.769
Tm2 0.360 0.360 0.382
Tm3 0.640 0.640 0.618
Tm4 0.867 0.867 0.231
In1 0.500 0.500 0.000

Calculated values
- Space-group type: C2/m
- Uncorrected energy: -0.1539 hartree per atom
- Density of states at the Fermi level: 1.6783 states/eV per atom